Record 1
InAg2Hg2 | GGA-PBE | relaxed

formation energy = 0.43 eV/f.u.
relative energy among the computed polymorphs = 46 meV per atom

```
data_InAg2Hg2
_chemical_formula_sum 'In2 Ag4 Hg4'
_space_group_name_H-M_alt 'P 4/m b m'
_space_group_IT_number 127
_space_group_name_Hall '-P 4 2ab'
_cell_length_a 8.563
_cell_length_b 8.563
_cell_length_c 3.071
_cell_angle_alpha 90.00
_cell_angle_beta 90.00
_cell_angle_gamma 90.00
loop_
_atom_site_label
_atom_site_type_symbol
_atom_site_fract_x
_atom_site_fract_y
_atom_site_fract_z
In1 In 0.000 0.000 0.000
Ag1 Ag 0.168 0.332 0.500
Hg1 Hg 0.131 0.631 0.000
```

Record 2
Sm2Dy3Hg2 | GGA-PBE | relaxed

formation energy = -1.40 eV/f.u.
relative energy among the computed polymorphs = 37 meV per atom

```
data_Sm2Dy3Hg2
_chemical_formula_sum 'Sm4 Dy6 Hg4'
_space_group_name_H-M_alt 'C m m m'
_space_group_IT_number 65
_space_group_name_Hall '-C 2 2'
_cell_length_a 3.606
_cell_length_b 31.951
_cell_length_c 3.591
_cell_angle_alpha 90.00
_cell_angle_beta 90.00
_cell_angle_gamma 90.00
loop_
_atom_site_label
_atom_site_type_symbol
_atom_site_fract_x
_atom_site_fract_y
_atom_site_fract_z
Sm1 Sm 0.000 0.202 0.000
Dy1 Dy 0.000 0.377 0.500
Dy2 Dy 0.000 0.500 0.500
Hg1 Hg 0.000 0.061 0.000
```

Record 3
Ba5Na2Mg2 | GGA-PBE | relaxed

formation energy = 0.18 eV/f.u.

```
data_Ba5Na2Mg2
_chemical_formula_sum 'Ba20 Na8 Mg8'
_space_group_name_H-M_alt 'C m c e'
_space_group_IT_number 64
_space_group_name_Hall '-C 2ac 2'
_cell_length_a 20.113
_cell_length_b 9.591
_cell_length_c 9.589
_cell_angle_alpha 90.00
_cell_angle_beta 90.00
_cell_angle_gamma 90.00
loop_
_atom_site_label
_atom_site_type_symbol
_atom_site_fract_x
_atom_site_fract_y
_atom_site_fract_z
Ba1 Ba 0.000 0.000 0.000
Ba2 Ba 0.125 0.184 0.317
Na1 Na 0.222 0.000 0.000
Mg1 Mg 0.000 0.113 0.613
```

Record 4
LaNd2MgAu4 | GGA-PBE | relaxed

formation energy = -5.94 eV/f.u.

```
data_LaNd2MgAu4
_chemical_formula_sum 'La3 Nd6 Mg3 Au12'
_space_group_name_H-M_alt 'R -3 m'
_space_group_IT_number 166
_space_group_name_Hall '-R 3 2"'
_cell_length_a 5.1734
_cell_length_b 5.1734
_cell_length_c 25.5000
_cell_angle_alpha 90.00
_cell_angle_beta 90.00
_cell_angle_gamma 120.00
loop_
_atom_site_label
_atom_site_type_symbol
_atom_site_fract_x
_atom_site_fract_y
_atom_site_fract_z
La1 La 0.0000 0.0000 0.0000
Nd1 Nd 0.0000 0.0000 0.2409
Mg1 Mg 0.0000 0.0000 0.5000
Au1 Au 0.0000 0.0000 0.1211
Au2 Au 0.0000 0.0000 0.3847
```

Which of these has the highest formation energy? InAg2Hg2

What did the second record say?
Sm2Dy3Hg2 | GGA-PBE | relaxed

formation energy = -1.40 eV/f.u.
relative energy among the computed polymorphs = 37 meV per atom

```
data_Sm2Dy3Hg2
_chemical_formula_sum 'Sm4 Dy6 Hg4'
_space_group_name_H-M_alt 'C m m m'
_space_group_IT_number 65
_space_group_name_Hall '-C 2 2'
_cell_length_a 3.606
_cell_length_b 31.951
_cell_length_c 3.591
_cell_angle_alpha 90.00
_cell_angle_beta 90.00
_cell_angle_gamma 90.00
loop_
_atom_site_label
_atom_site_type_symbol
_atom_site_fract_x
_atom_site_fract_y
_atom_site_fract_z
Sm1 Sm 0.000 0.202 0.000
Dy1 Dy 0.000 0.377 0.500
Dy2 Dy 0.000 0.500 0.500
Hg1 Hg 0.000 0.061 0.000
```

Number 1 is which compound? InAg2Hg2

The lowest formation energy belongs to which entry? LaNd2MgAu4